Run a
The following is a SCAN calculation of BaBe2Cl at its PBEsol-relaxed geometry, from the Alexandria database.

## Properties
SG = Cmmm (65)

The structure in POSCAR format:
```
BaBe2Cl
1.0
2.186 -4.832 0.000
2.186 4.832 0.000
0.000 0.000 4.245
Ba Be Cl
1 2 1
Cartesian
0.000 0.000 0.000 Ba
2.186 2.149 2.123 Be
2.186 -2.149 2.123 Be
2.186 0.000 2.123 Cl
```


Run b
The following is a SCAN calculation of BaBe2Cl at its PBEsol-relaxed geometry, from the Alexandria database.

## Properties
SG = P4/mmm (123)

The structure in POSCAR format:
```
BaBe2Cl
1.0
4.113 0.000 0.000
0.000 4.113 0.000
0.000 0.000 6.017
Ba Be Cl
1 2 1
Cartesian
0.000 0.000 0.000 Ba
2.056 2.056 1.950 Be
2.056 2.056 4.067 Be
0.000 0.000 3.008 Cl
```


On energetic grounds, run a is preferred over the next structure by 647 meV per atom.


Run a
The following is a SCAN calculation of Ba2BeHg at its PBEsol-relaxed geometry, from the Alexandria database.

## Properties
SG = P4mm (99)

The structure in POSCAR format:
```
Ba2BeHg
1.0
3.756 0.000 0.000
0.000 3.756 0.000
0.000 0.000 9.313
Ba Be Hg
2 1 1
Cartesian
0.000 0.000 0.000 Ba
1.878 1.878 3.844 Ba
0.000 0.000 6.015 Be
1.878 1.878 7.094 Hg
```


Run b
The following is a SCAN calculation of Ba2BeHg at its PBEsol-relaxed geometry, from the Alexandria database.

## Properties
SG = Fm-3m (225)

The structure in POSCAR format:
```
Ba2BeHg
1.0
0.000 4.015 4.015
4.015 0.000 4.015
4.015 4.015 0.000
Ba Be Hg
2 1 1
Cartesian
2.008 2.008 2.008 Ba
6.023 6.023 6.023 Ba
0.000 0.000 0.000 Be
4.015 4.015 4.015 Hg
```


On energetic grounds, run b is preferred over the next structure by 162 meV per atom.


Run a
The following is a SCAN calculation of BaBe2Ir at its PBEsol-relaxed geometry, from the Alexandria database.

## Properties
SG = I4_1/amd (141)

The structure in POSCAR format:
```
BaBe2Ir
1.0
-2.374 2.374 7.427
2.374 -2.374 7.427
2.374 2.374 -7.427
Ba Be Ir
2 4 2
Cartesian
2.374 1.187 1.857 Ba
0.000 1.187 5.571 Ba
0.000 0.000 0.000 Be
1.187 1.187 -3.714 Be
1.187 -1.187 3.714 Be
0.000 2.374 0.000 Be
2.374 -1.187 5.571 Ir
0.000 3.561 1.857 Ir
```


Run b
The following is a SCAN calculation of BaBe2Ir at its PBEsol-relaxed geometry, from the Alexandria database.

## Properties
SG = I4/mmm (139)

The structure in POSCAR format:
```
BaBe2Ir
1.0
-2.150 2.150 3.665
2.150 -2.150 3.665
2.150 2.150 -3.665
Ba Be Ir
1 2 1
Cartesian
0.000 0.000 0.000 Ba
2.150 0.000 1.832 Be
0.000 2.150 1.832 Be
0.000 0.000 3.665 Ir
```


On energetic grounds, run a is preferred over the next structure by 784 meV per atom.


Run a
The following is a SCAN calculation of BaBeNi2 at its PBEsol-relaxed geometry, from the Alexandria database.

## Properties
SG = Imm2 (44)

The structure in POSCAR format:
```
BaBeNi2
1.0
-1.949 2.850 3.578
1.949 -2.850 3.578
1.949 2.850 -3.578
Ba Be Ni
1 1 2
Cartesian
0.000 0.000 0.000 Ba
1.949 0.000 2.565 Be
0.000 0.000 3.366 Ni
0.000 2.850 1.078 Ni
```


Run b
The following is a SCAN calculation of BaBeNi2 at its PBEsol-relaxed geometry, from the Alexandria database.

## Properties
SG = Cmmm (65)

The structure in POSCAR format:
```
BaBeNi2
1.0
2.923 -3.383 0.000
2.923 3.383 0.000
0.000 0.000 3.351
Ba Be Ni
1 1 2
Cartesian
0.000 0.000 0.000 Ba
2.923 0.000 0.000 Be
1.462 1.691 1.676 Ni
1.462 -1.691 1.676 Ni
```


Run c
The following is a SCAN calculation of BaBeNi2 at its PBEsol-relaxed geometry, from the Alexandria database.

## Properties
SG = Fm-3m (225)

The structure in POSCAR format:
```
BaBeNi2
1.0
0.000 3.258 3.258
3.258 0.000 3.258
3.258 3.258 0.000
Ba Be Ni
1 1 2
Cartesian
0.000 0.000 0.000 Ba
3.258 3.258 3.258 Be
1.629 1.629 1.629 Ni
4.887 4.887 4.887 Ni
```


On energetic grounds, run a is preferred over the next structure by 389 meV per atom.


Run a
The following is a SCAN calculation of BaBe2Ni at its PBEsol-relaxed geometry, from the Alexandria database.

## Properties
SG = P4/mmm (123)

The structure in POSCAR format:
```
BaBe2Ni
1.0
4.781 0.000 0.000
0.000 4.781 0.000
0.000 0.000 2.923
Ba Be Ni
1 2 1
Cartesian
0.000 0.000 0.000 Ba
0.000 2.391 1.462 Be
2.391 0.000 1.462 Be
2.391 2.391 0.000 Ni
```


Run b
The following is a SCAN calculation of BaBe2Ni at its PBEsol-relaxed geometry, from the Alexandria database.

## Properties
SG = P4mm (99)

The structure in POSCAR format:
```
BaBe2Ni
1.0
3.048 0.000 0.000
0.000 3.048 0.000
0.000 0.000 6.959
Ba Be Ni
1 2 1
Cartesian
0.000 0.000 0.000 Ba
0.000 0.000 3.687 Be
1.524 1.524 2.521 Be
1.524 1.524 4.558 Ni
```


On energetic grounds, run b is preferred over the next structure by 756 meV per atom.


Run a
The following is a SCAN calculation of BaBe2Os at its PBEsol-relaxed geometry, from the Alexandria database.

## Properties
SG = Imm2 (44)

The structure in POSCAR format:
```
BaBe2Os
1.0
-1.436 2.533 4.773
1.436 -2.533 4.773
1.436 2.533 -4.773
Ba Be Os
1 2 1
Cartesian
0.000 0.000 0.000 Ba
0.000 0.000 4.535 Be
0.000 2.533 1.874 Be
1.436 0.000 2.789 Os
```


Run b
The following is a SCAN calculation of BaBe2Os at its PBEsol-relaxed geometry, from the Alexandria database.

## Properties
SG = C2/m (12)

The structure in POSCAR format:
```
BaBe2Os
1.0
3.039 -3.636 0.000
3.039 3.636 0.000
-0.203 0.000 2.886
Ba Be Os
1 2 1
Cartesian
0.000 0.000 0.000 Ba
1.418 1.818 1.443 Be
1.418 -1.818 1.443 Be
3.039 0.000 0.000 Os
```


On energetic grounds, run a is preferred over the next structure by 221 meV per atom.


Run a
The following is a SCAN calculation of Ba2BeTe at its PBEsol-relaxed geometry, from the Alexandria database.

## Properties
SG = Cm (8)

The structure in POSCAR format:
```
Ba2BeTe
1.0
6.143 -2.178 0.000
6.143 2.178 0.000
-0.892 0.000 5.189
Ba Be Te
2 1 1
Cartesian
0.000 0.000 0.000 Ba
8.434 0.000 3.007 Ba
3.271 0.000 0.572 Be
4.978 0.000 2.403 Te
```


Run b
The following is a SCAN calculation of Ba2BeTe at its PBEsol-relaxed geometry, from the Alexandria database.

## Properties
SG = R-3m (166)

The structure in POSCAR format:
```
Ba2BeTe
1.0
2.359 1.362 8.378
-2.359 1.362 8.378
0.000 -2.723 8.378
Ba Be Te
2 1 1
Cartesian
0.000 0.000 6.294 Ba
0.000 0.000 18.839 Ba
0.000 0.000 12.566 Be
0.000 0.000 0.000 Te
```


On energetic grounds, run a is preferred over the next structure by 16 meV per atom.


Run a
The following is a SCAN calculation of Ba2BeTl at its PBEsol-relaxed geometry, from the Alexandria database.

## Properties
SG = Imm2 (44)

The structure in POSCAR format:
```
Ba2BeTl
1.0
-1.977 2.869 5.476
1.977 -2.869 5.476
1.977 2.869 -5.476
Ba Be Tl
2 1 1
Cartesian
0.000 0.000 0.000 Ba
0.000 2.869 1.980 Ba
1.977 0.000 2.765 Be
0.000 0.000 4.329 Tl
```


Run b
The following is a SCAN calculation of Ba2BeTl at its PBEsol-relaxed geometry, from the Alexandria database.

## Properties
SG = Fm-3m (225)

The structure in POSCAR format:
```
Ba2BeTl
1.0
0.000 4.070 4.070
4.070 0.000 4.070
4.070 4.070 0.000
Ba Be Tl
2 1 1
Cartesian
2.035 2.035 2.035 Ba
6.105 6.105 6.105 Ba
0.000 0.000 0.000 Be
4.070 4.070 4.070 Tl
```


Run c
The following is a SCAN calculation of Ba2BeTl at its PBEsol-relaxed geometry, from the Alexandria database.

## Properties
SG = R-3m (166)

The structure in POSCAR format:
```
Ba2BeTl
1.0
2.082 1.202 9.846
-2.082 1.202 9.846
0.000 -2.404 9.846
Ba Be Tl
2 1 1
Cartesian
0.000 0.000 7.157 Ba
0.000 0.000 22.381 Ba
0.000 0.000 14.769 Be
0.000 0.000 0.000 Tl
```


On energetic grounds, run a is preferred over the next structure by 78 meV per atom.